## Tm8Bi2Ir (PBE-GGA)

Data for crystalline Tm8Bi2Ir at its relaxed geometry.

Calculated values
Theoretical density, g/cm3: 10.39
Total magnetic moment, μB/cell: 0.00

Cell and atoms, written as CIF:
```
data_Tm8Bi2Ir
_cell_length_a 19.0081
_cell_length_b 4.5747
_cell_length_c 7.2533
_cell_angle_alpha 90.00
_cell_angle_beta 95.99
_cell_angle_gamma 90.00
_symmetry_space_group_name_H-M 'C 1 2/m 1'
_symmetry_Int_Tables_number 12
loop_
_symmetry_equiv_pos_as_xyz
'x,y,z'
'-x,-y,-z'
'-x,y,-z'
'x,-y,z'
'x+1/2,y+1/2,z'
'-x+1/2,-y+1/2,-z'
'-x+1/2,y+1/2,-z'
'x+1/2,-y+1/2,z'
loop_
_atom_site_label
_atom_site_fract_x
_atom_site_fract_y
_atom_site_fract_z
Tm1 0.0036 0.0000 0.2279
Tm2 0.0947 0.5000 0.5206
Tm3 0.1384 0.5000 0.0500
Tm4 0.2132 0.0000 0.3531
Bi1 0.1825 0.0000 0.7848
Ir1 0.0000 0.5000 0.0000
```

## Tm7Bi2Ir2 (PBE-GGA)

Data for crystalline Tm7Bi2Ir2 at its relaxed geometry.

Calculated values
Theoretical density, g/cm3: 10.06
ΔE to the lowest computed polymorph, meV/atom: 107
Total magnetic moment, μB/cell: 0.00

Cell and atoms, written as CIF:
```
data_Tm7Bi2Ir2
_cell_length_a 8.7767
_cell_length_b 10.3900
_cell_length_c 7.1885
_cell_angle_alpha 90.00
_cell_angle_beta 90.00
_cell_angle_gamma 90.00
_symmetry_space_group_name_H-M 'C m m m'
_symmetry_Int_Tables_number 65
_symmetry_space_group_name_Hall '-C 2 2'
loop_
_atom_site_label
_atom_site_fract_x
_atom_site_fract_y
_atom_site_fract_z
Tm1 0.0000 0.0000 0.0000
Tm2 0.0000 0.5000 0.2266
Tm3 0.2500 0.2500 0.2331
Bi1 0.2087 0.0000 0.5000
Ir1 0.0000 0.2782 0.0000
```

## Tm8BiIr2 (PBE-GGA)

Data for crystalline Tm8BiIr2 at its relaxed geometry.

Calculated values
Theoretical density, g/cm3: 10.72
Total magnetic moment, μB/cell: 0.00

Cell and atoms, written as CIF:
```
data_Tm8BiIr2
_cell_length_a 8.6216
_cell_length_b 12.9478
_cell_length_c 5.5372
_cell_angle_alpha 90.00
_cell_angle_beta 102.93
_cell_angle_gamma 90.00
_symmetry_space_group_name_H-M 'C 1 2/m 1'
_symmetry_Int_Tables_number 12
loop_
_symmetry_equiv_pos_as_xyz
'x,y,z'
'-x,-y,-z'
'-x,y,-z'
'x,-y,z'
'x+1/2,y+1/2,z'
'-x+1/2,-y+1/2,-z'
'-x+1/2,y+1/2,-z'
'x+1/2,-y+1/2,z'
loop_
_atom_site_label
_atom_site_fract_x
_atom_site_fract_y
_atom_site_fract_z
Tm1 0.0000 0.2495 0.0000
Tm2 0.1054 0.0000 0.7906
Tm3 0.2038 0.3679 0.5907
Bi1 0.0000 0.5000 0.0000
Ir1 0.0000 0.1893 0.5000
```

## Tm2BiIr (PBE-GGA)

Data for crystalline Tm2BiIr at its relaxed geometry.

Calculated values
Theoretical density, g/cm3: 11.46
ΔE to the lowest computed polymorph, meV/atom: 99
Total magnetic moment, μB/cell: 0.00

Cell and atoms, written as CIF:
```
data_Tm2BiIr
_cell_length_a 3.9072
_cell_length_b 3.9072
_cell_length_c 24.2983
_cell_angle_alpha 90.00
_cell_angle_beta 90.00
_cell_angle_gamma 120.00
_symmetry_space_group_name_H-M 'R -3 m'
_symmetry_Int_Tables_number 166
_symmetry_space_group_name_Hall '-R 3 2"'
loop_
_atom_site_label
_atom_site_fract_x
_atom_site_fract_y
_atom_site_fract_z
Tm1 0.0000 0.0000 0.2306
Bi1 0.0000 0.0000 0.0000
Ir1 0.0000 0.0000 0.5000
```

## Tm2BiIr (PBE-GGA)

Data for crystalline Tm2BiIr at its relaxed geometry.

Calculated values
Theoretical density, g/cm3: 12.69
ΔE to the lowest computed polymorph, meV/atom: 0
Total magnetic moment, μB/cell: 0.00

Cell and atoms, written as CIF:
```
data_Tm2BiIr
_cell_length_a 3.4682
_cell_length_b 3.4682
_cell_length_c 8.0402
_cell_angle_alpha 90.00
_cell_angle_beta 90.00
_cell_angle_gamma 90.00
_symmetry_space_group_name_H-M 'P 4/m m m'
_symmetry_Int_Tables_number 123
_symmetry_space_group_name_Hall '-P 4 2'
loop_
_atom_site_label
_atom_site_fract_x
_atom_site_fract_y
_atom_site_fract_z
Tm1 0.0000 0.0000 0.2012
Bi1 0.5000 0.5000 0.5000
Ir1 0.5000 0.5000 0.0000
```

## Tm5BiIr (PBE-GGA)

Data for crystalline Tm5BiIr at its relaxed geometry.

Calculated values
Theoretical density, g/cm3: 10.22
Total magnetic moment, μB/cell: 0.00

Cell and atoms, written as CIF:
```
data_Tm5BiIr
_cell_length_a 11.1142
_cell_length_b 6.8230
_cell_length_c 11.2911
_cell_angle_alpha 90.00
_cell_angle_beta 108.95
_cell_angle_gamma 90.00
_symmetry_space_group_name_H-M 'C 1 2/c 1'
_symmetry_Int_Tables_number 15
loop_
_symmetry_equiv_pos_as_xyz
'x,y,z'
'-x,-y,-z'
'-x,y,-z+1/2'
'x,-y,z+1/2'
'x+1/2,y+1/2,z'
'-x+1/2,-y+1/2,-z'
'-x+1/2,y+1/2,-z+1/2'
'x+1/2,-y+1/2,z+1/2'
loop_
_atom_site_label
_atom_site_fract_x
_atom_site_fract_y
_atom_site_fract_z
Tm1 0.0000 0.0320 0.2500
Tm2 0.1231 0.3348 0.0406
Tm3 0.2172 0.1782 0.6376
Bi1 0.0000 0.4668 0.7500
Ir1 0.0000 0.0000 0.0000
```

## Tm4BiIr (PBE-GGA)

Data for crystalline Tm4BiIr at its relaxed geometry.

Calculated values
Theoretical density, g/cm3: 7.95
ΔE to the lowest computed polymorph, meV/atom: 314
Total magnetic moment, μB/cell: 0.00

Cell and atoms, written as CIF:
```
data_Tm4BiIr
_cell_length_a 19.3141
_cell_length_b 5.3826
_cell_length_c 9.7426
_cell_angle_alpha 90.00
_cell_angle_beta 117.26
_cell_angle_gamma 90.00
_symmetry_space_group_name_H-M 'C 1 2/m 1'
_symmetry_Int_Tables_number 12
loop_
_symmetry_equiv_pos_as_xyz
'x,y,z'
'-x,-y,-z'
'-x,y,-z'
'x,-y,z'
'x+1/2,y+1/2,z'
'-x+1/2,-y+1/2,-z'
'-x+1/2,y+1/2,-z'
'x+1/2,-y+1/2,z'
loop_
_atom_site_label
_atom_site_fract_x
_atom_site_fract_y
_atom_site_fract_z
Tm1 0.0299 0.0000 0.1971
Tm2 0.1129 0.5000 0.0479
Tm3 0.1936 0.0000 0.8828
Tm4 0.2455 0.0000 0.3274
Bi1 0.1614 0.0000 0.5441
Ir1 0.1165 0.0000 0.0492
```

## Tm4BiIr2 (PBE-GGA)

Data for crystalline Tm4BiIr2 at its relaxed geometry.

Calculated values
Theoretical density, g/cm3: 10.57
Total magnetic moment, μB/cell: 0.00

Cell and atoms, written as CIF:
```
data_Tm4BiIr2
_cell_length_a 12.8258
_cell_length_b 9.6829
_cell_length_c 9.0713
_cell_angle_alpha 90.00
_cell_angle_beta 134.92
_cell_angle_gamma 90.00
_symmetry_space_group_name_H-M 'C 1 2/c 1'
_symmetry_Int_Tables_number 15
loop_
_symmetry_equiv_pos_as_xyz
'x,y,z'
'-x,-y,-z'
'-x,y,-z+1/2'
'x,-y,z+1/2'
'x+1/2,y+1/2,z'
'-x+1/2,-y+1/2,-z'
'-x+1/2,y+1/2,-z+1/2'
'x+1/2,-y+1/2,z+1/2'
loop_
_atom_site_label
_atom_site_fract_x
_atom_site_fract_y
_atom_site_fract_z
Tm1 0.0004 0.2289 0.0676
Tm2 0.1827 0.4790 0.9325
Bi1 0.0000 0.1242 0.7500
Ir1 0.0000 0.5000 0.0000
Ir2 0.2500 0.2500 0.5000
```

## Tm4Bi5Ir (PBE-GGA)

Data for crystalline Tm4Bi5Ir at its relaxed geometry.

Calculated values
Theoretical density, g/cm3: 10.40
Total magnetic moment, μB/cell: 0.00

Cell and atoms, written as CIF:
```
data_Tm4Bi5Ir
_cell_length_a 17.7973
_cell_length_b 4.3108
_cell_length_c 8.3628
_cell_angle_alpha 90.00
_cell_angle_beta 107.77
_cell_angle_gamma 90.00
_symmetry_space_group_name_H-M 'C 1 2/m 1'
_symmetry_Int_Tables_number 12
loop_
_symmetry_equiv_pos_as_xyz
'x,y,z'
'-x,-y,-z'
'-x,y,-z'
'x,-y,z'
'x+1/2,y+1/2,z'
'-x+1/2,-y+1/2,-z'
'-x+1/2,y+1/2,-z'
'x+1/2,-y+1/2,z'
loop_
_atom_site_label
_atom_site_fract_x
_atom_site_fract_y
_atom_site_fract_z
Tm1 0.0384 0.0000 0.2233
Tm2 0.1434 0.5000 0.9480
Bi1 0.0000 0.5000 0.5000
Bi2 0.1450 0.0000 0.6410
Bi3 0.2159 0.0000 0.2331
Ir1 0.0000 0.5000 0.0000
```

## Tm5BiIr2 (PBE-GGA)

Data for crystalline Tm5BiIr2 at its relaxed geometry.

Calculated values
Theoretical density, g/cm3: 11.81
Total magnetic moment, μB/cell: 0.00

Cell and atoms, written as CIF:
```
data_Tm5BiIr2
_cell_length_a 7.7187
_cell_length_b 7.7187
_cell_length_c 13.5718
_cell_angle_alpha 90.00
_cell_angle_beta 90.00
_cell_angle_gamma 90.00
_symmetry_space_group_name_H-M 'I 4/m c m'
_symmetry_Int_Tables_number 140
_symmetry_space_group_name_Hall '-I 4 2c'
loop_
_atom_site_label
_atom_site_fract_x
_atom_site_fract_y
_atom_site_fract_z
Tm1 0.0000 0.0000 0.0000
Tm2 0.1555 0.3445 0.1304
Bi1 0.0000 0.0000 0.2500
Ir1 0.1407 0.3593 0.5000
```

## Tm5Bi5Ir (PBE-GGA)

Data for crystalline Tm5Bi5Ir at its relaxed geometry.

Calculated values
Theoretical density, g/cm3: 10.23
Total magnetic moment, μB/cell: 0.00

Cell and atoms, written as CIF:
```
data_Tm5Bi5Ir
_cell_length_a 13.0701
_cell_length_b 6.1129
_cell_length_c 9.4952
_cell_angle_alpha 90.00
_cell_angle_beta 117.07
_cell_angle_gamma 90.00
_symmetry_space_group_name_H-M 'C 1 2/m 1'
_symmetry_Int_Tables_number 12
loop_
_symmetry_equiv_pos_as_xyz
'x,y,z'
'-x,-y,-z'
'-x,y,-z'
'x,-y,z'
'x+1/2,y+1/2,z'
'-x+1/2,-y+1/2,-z'
'-x+1/2,y+1/2,-z'
'x+1/2,-y+1/2,z'
loop_
_atom_site_label
_atom_site_fract_x
_atom_site_fract_y
_atom_site_fract_z
Tm1 0.0000 0.0000 0.0000
Tm2 0.1529 0.5000 0.8803
Tm3 0.1725 0.5000 0.2941
Bi1 0.0000 0.5000 0.5000
Bi2 0.1158 0.0000 0.7761
Bi3 0.2126 0.0000 0.3364
Ir1 0.0000 0.5000 0.0000
```

## UBiIr (PBE-GGA)

Data for crystalline UBiIr at its relaxed geometry.

Calculated values
Theoretical density, g/cm3: 15.35
Total magnetic moment, μB/cell: 2.88

Cell and atoms, written as CIF:
```
data_UBiIr
_cell_length_a 3.4754
_cell_length_b 3.4754
_cell_length_c 11.4514
_cell_angle_alpha 90.00
_cell_angle_beta 90.00
_cell_angle_gamma 90.00
_symmetry_space_group_name_H-M 'P 4/n m m'
_symmetry_Int_Tables_number 129
loop_
_symmetry_equiv_pos_as_xyz
'x,y,z'
'-x,-y,-z'
'-y+1/2,x,z'
'y+1/2,-x,-z'
'-x+1/2,-y+1/2,z'
'x+1/2,y+1/2,-z'
'y,-x+1/2,z'
'-y,x+1/2,-z'
'x+1/2,-y,-z'
'-x+1/2,y,z'
'-y,-x,-z'
'y,x,z'
'-x,y+1/2,-z'
'x,-y+1/2,z'
'y+1/2,x+1/2,-z'
'-y+1/2,-x+1/2,z'
loop_
_atom_site_label
_atom_site_fract_x
_atom_site_fract_y
_atom_site_fract_z
U1 0.2500 0.2500 0.0773
Bi1 0.2500 0.2500 0.3741
Ir1 0.2500 0.2500 0.8041
```

## V2BiIr2 (PBE-GGA)

Data for crystalline V2BiIr2 at its relaxed geometry.

Calculated values
Theoretical density, g/cm3: 13.77
ΔE to the lowest computed polymorph, meV/atom: 0
Total magnetic moment, μB/cell: 0.01

Cell and atoms, written as CIF:
```
data_V2BiIr2
_cell_length_a 7.6704
_cell_length_b 7.6704
_cell_length_c 2.8510
_cell_angle_alpha 90.00
_cell_angle_beta 90.00
_cell_angle_gamma 90.00
_symmetry_space_group_name_H-M 'P 4/m b m'
_symmetry_Int_Tables_number 127
_symmetry_space_group_name_Hall '-P 4 2ab'
loop_
_atom_site_label
_atom_site_fract_x
_atom_site_fract_y
_atom_site_fract_z
V1 0.1517 0.3483 0.0000
Bi1 0.0000 0.0000 0.5000
Ir1 0.1337 0.6337 0.5000
```

## VBi2Ir (PBE-GGA)

Data for crystalline VBi2Ir at its relaxed geometry.

Calculated values
Theoretical density, g/cm3: 12.87
ΔE to the lowest computed polymorph, meV/atom: 0
Total magnetic moment, μB/cell: 12.49

Cell and atoms, written as CIF:
```
data_VBi2Ir
_cell_length_a 6.9874
_cell_length_b 6.9874
_cell_length_c 6.9874
_cell_angle_alpha 90.00
_cell_angle_beta 90.00
_cell_angle_gamma 90.00
_symmetry_space_group_name_H-M 'F m -3 m'
_symmetry_Int_Tables_number 225
_symmetry_space_group_name_Hall '-F 4 2 3'
loop_
_atom_site_label
_atom_site_fract_x
_atom_site_fract_y
_atom_site_fract_z
V1 0.0000 0.0000 0.0000
Bi1 0.2500 0.2500 0.2500
Ir1 0.0000 0.0000 0.5000
```

## VBi2Ir (PBE-GGA)

Data for crystalline VBi2Ir at its relaxed geometry.

Calculated values
Theoretical density, g/cm3: 9.11
ΔE to the lowest computed polymorph, meV/atom: 373
Total magnetic moment, μB/cell: 11.80

Cell and atoms, written as CIF:
```
data_VBi2Ir
_cell_length_a 6.6701
_cell_length_b 6.6701
_cell_length_c 10.8401
_cell_angle_alpha 90.00
_cell_angle_beta 90.00
_cell_angle_gamma 90.00
_symmetry_space_group_name_H-M 'I -4 2 d'
_symmetry_Int_Tables_number 122
_symmetry_space_group_name_Hall 'I -4 2bw'
loop_
_atom_site_label
_atom_site_fract_x
_atom_site_fract_y
_atom_site_fract_z
V1 0.0000 0.0000 0.0000
Bi1 0.2305 0.2500 0.6250
Ir1 0.0000 0.0000 0.5000
```

## VBi3Ir (PBE-GGA)

Data for crystalline VBi3Ir at its relaxed geometry.

Calculated values
Theoretical density, g/cm3: 9.41
ΔE to the lowest computed polymorph, meV/atom: 0
Total magnetic moment, μB/cell: 3.85

Cell and atoms, written as CIF:
```
data_VBi3Ir
_cell_length_a 5.3547
_cell_length_b 5.3547
_cell_length_c 5.3547
_cell_angle_alpha 90.00
_cell_angle_beta 90.00
_cell_angle_gamma 90.00
_symmetry_space_group_name_H-M 'P m -3 m'
_symmetry_Int_Tables_number 221
_symmetry_space_group_name_Hall '-P 4 2 3'
loop_
_atom_site_label
_atom_site_fract_x
_atom_site_fract_y
_atom_site_fract_z
V1 0.0000 0.0000 0.0000
Bi1 0.0000 0.5000 0.5000
Ir1 0.5000 0.5000 0.5000
```

## V2BiIr (PBE-GGA)

Data for crystalline V2BiIr at its relaxed geometry.

Calculated values
Theoretical density, g/cm3: 11.40
Total magnetic moment, μB/cell: 0.00

Cell and atoms, written as CIF:
```
data_V2BiIr
_cell_length_a 3.9553
_cell_length_b 3.9553
_cell_length_c 18.7319
_cell_angle_alpha 90.00
_cell_angle_beta 90.00
_cell_angle_gamma 90.00
_symmetry_space_group_name_H-M 'I -4 2 d'
_symmetry_Int_Tables_number 122
_symmetry_space_group_name_Hall 'I -4 2bw'
loop_
_atom_site_label
_atom_site_fract_x
_atom_site_fract_y
_atom_site_fract_z
V1 0.2192 0.2500 0.1250
Bi1 0.0000 0.0000 0.5000
Ir1 0.0000 0.0000 0.0000
```

## V3BiIr (PBE-GGA)

Data for crystalline V3BiIr at its relaxed geometry.

Calculated values
Theoretical density, g/cm3: 8.69
ΔE to the lowest computed polymorph, meV/atom: 0
Total magnetic moment, μB/cell: 4.48

Cell and atoms, written as CIF:
```
data_V3BiIr
_cell_length_a 4.7315
_cell_length_b 4.7315
_cell_length_c 4.7315
_cell_angle_alpha 90.00
_cell_angle_beta 90.00
_cell_angle_gamma 90.00
_symmetry_space_group_name_H-M 'P m -3 m'
_symmetry_Int_Tables_number 221
_symmetry_space_group_name_Hall '-P 4 2 3'
loop_
_atom_site_label
_atom_site_fract_x
_atom_site_fract_y
_atom_site_fract_z
V1 0.0000 0.0000 0.5000
Bi1 0.5000 0.5000 0.5000
Ir1 0.0000 0.0000 0.0000
```

## Bi3IrW (PBE-GGA)

Data for crystalline Bi3IrW at its relaxed geometry.

Calculated values
Theoretical density, g/cm3: 11.13
ΔE to the lowest computed polymorph, meV/atom: 18
Total magnetic moment, μB/cell: 3.73

Cell and atoms, written as CIF:
```
data_Bi3IrW
_cell_length_a 5.3095
_cell_length_b 5.3095
_cell_length_c 5.3095
_cell_angle_alpha 90.00
_cell_angle_beta 90.00
_cell_angle_gamma 90.00
_symmetry_space_group_name_H-M 'P m -3 m'
_symmetry_Int_Tables_number 221
_symmetry_space_group_name_Hall '-P 4 2 3'
loop_
_atom_site_label
_atom_site_fract_x
_atom_site_fract_y
_atom_site_fract_z
Bi1 0.0000 0.0000 0.5000
Ir1 0.0000 0.0000 0.0000
W1 0.5000 0.5000 0.5000
```

## Bi3IrW (PBE-GGA)

Data for crystalline Bi3IrW at its relaxed geometry.

Calculated values
Theoretical density, g/cm3: 11.28
ΔE to the lowest computed polymorph, meV/atom: 0
Total magnetic moment, μB/cell: 0.00

Cell and atoms, written as CIF:
```
data_Bi3IrW
_cell_length_a 5.2851
_cell_length_b 5.2851
_cell_length_c 5.2851
_cell_angle_alpha 90.00
_cell_angle_beta 90.00
_cell_angle_gamma 90.00
_symmetry_space_group_name_H-M 'P m -3 m'
_symmetry_Int_Tables_number 221
_symmetry_space_group_name_Hall '-P 4 2 3'
loop_
_atom_site_label
_atom_site_fract_x
_atom_site_fract_y
_atom_site_fract_z
Bi1 0.0000 0.0000 0.5000
Ir1 0.5000 0.5000 0.5000
W1 0.0000 0.0000 0.0000
```

| no. | ΔE_f (meV per atom) |
| --- | --- |
| 1 | -434 |
| 2 | -586 |
| 3 | -517 |
| 4 | -639 |
| 5 | -738 |
| 6 | -360 |
| 7 | -367 |
| 8 | -616 |
| 9 | -488 |
| 10 | -795 |
| 11 | -509 |
| 12 | -186 |
| 13 | -83 |
| 14 | 472 |
| 15 | 845 |
| 16 | 907 |
| 17 | 640 |
| 18 | 711 |
| 19 | 1458 |
| 20 | 1440 |